[1]
AgRhAu | GGA-PBE | optimized geometry

Calculated values
ΔH_f (0 K), eV per atom: 0.21
Offset from the most stable computed form, kJ per mole of atoms: 11.8
SG: Imm2
Calculated density, Mg/m³: 13.6
Energy, eV/atom: -4.29
Size of the total moment, μB/atom: 0.1923

Unit cell a=4.9891 b=4.9891 c=4.9891 alpha=147.42 beta=131.10 gamma=60.00
Last column: nearest neighbours and their distance in Å.
Atoms (fractional coordinates):
Ag  0.9984  0.9984  0.0000  2 Ag 2.80, 5 Au 2.84-2.90, 5 Rh 2.88
Rh  0.3321  0.3321  0.0000  2 Rh 2.80, 5 Au 2.86-2.92, 5 Ag 2.88
Au  0.6695  0.6695  0.0000  2 Au 2.80, 5 Ag 2.84-2.90, 5 Rh 2.86-2.92



[2]
AgRhAu | GGA-PBE | optimized geometry

Calculated values
ΔH_f (0 K), eV per atom: 0.15
Offset from the most stable computed form, kJ per mole of atoms: 6.6
SG: P3m1
Calculated density, Mg/m³: 13.6
Energy, eV/atom: -4.34
Size of the total moment, μB/atom: 0.1544

Unit cell a=2.8415 b=2.8415 c=7.1193 alpha=90.00 beta=90.00 gamma=120.00
Last column: nearest neighbours and their distance in Å.
Atoms (fractional coordinates):
Ag  0.0000  0.0000  0.9942  6 Ag 2.84, 3 Rh 2.85, 3 Au 2.95
Rh  0.3333  0.6667  0.6671  6 Rh 2.84, 3 Ag 2.85, 3 Au 2.86
Au  0.6667  0.3333  0.3387  6 Au 2.84, 3 Rh 2.86, 3 Ag 2.95



Please write out number 2 again, unchanged.
AgRhAu | GGA-PBE | optimized geometry

Calculated values
ΔH_f (0 K), eV per atom: 0.15
Offset from the most stable computed form, kJ per mole of atoms: 6.6
SG: P3m1
Calculated density, Mg/m³: 13.6
Energy, eV/atom: -4.34
Size of the total moment, μB/atom: 0.1544

Unit cell a=2.8415 b=2.8415 c=7.1193 alpha=90.00 beta=90.00 gamma=120.00
Last column: nearest neighbours and their distance in Å.
Atoms (fractional coordinates):
Ag  0.0000  0.0000  0.9942  6 Ag 2.84, 3 Rh 2.85, 3 Au 2.95
Rh  0.3333  0.6667  0.6671  6 Rh 2.84, 3 Ag 2.85, 3 Au 2.86
Au  0.6667  0.3333  0.3387  6 Au 2.84, 3 Rh 2.86, 3 Ag 2.95